(1)
This record from Alexandria via LeMat-Bulk describes a geometry-optimized FeCo structure. The functional is PBE.

Values from the calculation:
Energy of formation   0.09 eV/atom

```
data_FeCo
_chemical_formula_sum 'Fe2 Co2'
_cell_length_a 2.5559
_cell_length_b 2.5559
_cell_length_c 8.1163
_cell_angle_alpha 90.00
_cell_angle_beta 90.00
_cell_angle_gamma 120.00
_symmetry_space_group_name_H-M 'P 63/m m c'
_symmetry_Int_Tables_number 194
_symmetry_space_group_name_Hall '-P 6c 2c'
loop_
_atom_site_label
_atom_site_fract_x
_atom_site_fract_y
_atom_site_fract_z
Fe1 0.0000 0.0000 0.0000
Co1 0.3333 0.6667 0.2500
```

(2)
This record from Alexandria via LeMat-Bulk describes a geometry-optimized AcPr9Nd2 structure. The functional is PBE.

Values from the calculation:
Energy of formation   0.01 eV/atom

```
data_AcPr9Nd2
_chemical_formula_sum 'Ac1 Pr9 Nd2'
_cell_length_a 5.272
_cell_length_b 5.272
_cell_length_c 15.828
_cell_angle_alpha 90.00
_cell_angle_beta 90.00
_cell_angle_gamma 90.00
_symmetry_space_group_name_H-M 'P 4/m m m'
_symmetry_Int_Tables_number 123
_symmetry_space_group_name_Hall '-P 4 2'
loop_
_atom_site_label
_atom_site_fract_x
_atom_site_fract_y
_atom_site_fract_z
Ac1 0.000 0.000 0.000
Pr1 0.000 0.500 0.172
Pr2 0.000 0.500 0.500
Pr3 0.500 0.500 0.000
Pr4 0.500 0.500 0.336
Nd1 0.000 0.000 0.335
```

(3)
This record from Alexandria via LeMat-Bulk describes a geometry-optimized Dy6NiSb3 structure. The functional is PBE.

Values from the calculation:
Uncorrected formation energy   -563.4 meV per atom

```
data_Dy6NiSb3
_chemical_formula_sum 'Dy24 Ni4 Sb12'
_cell_length_a 11.004
_cell_length_b 15.173
_cell_length_c 6.995
_cell_angle_alpha 90.00
_cell_angle_beta 90.00
_cell_angle_gamma 90.00
_symmetry_space_group_name_H-M 'C m c 21'
_symmetry_Int_Tables_number 36
loop_
_symmetry_equiv_pos_as_xyz
'x,y,z'
'-x,-y,z+1/2'
'-x,y,z'
'x,-y,z+1/2'
'x+1/2,y+1/2,z'
'-x+1/2,-y+1/2,z+1/2'
'-x+1/2,y+1/2,z'
'x+1/2,-y+1/2,z+1/2'
loop_
_atom_site_label
_atom_site_fract_x
_atom_site_fract_y
_atom_site_fract_z
Dy1 0.000 0.018 0.000
Dy2 0.000 0.245 0.069
Dy3 0.162 0.268 0.576
Dy4 0.194 0.442 0.180
Ni1 0.000 0.150 0.743
Sb1 0.000 0.431 0.492
Sb2 0.176 0.108 0.300
```

(4)
This record from Alexandria via LeMat-Bulk describes a geometry-optimized CaFe2Se structure. The functional is PBE.

Values from the calculation:
Uncorrected formation energy   206.1 meV per atom

```
data_CaFe2Se
_chemical_formula_sum 'Ca4 Fe8 Se4'
_cell_length_a 6.518
_cell_length_b 6.518
_cell_length_c 6.518
_cell_angle_alpha 90.00
_cell_angle_beta 90.00
_cell_angle_gamma 90.00
_symmetry_space_group_name_H-M 'F -4 3 m'
_symmetry_Int_Tables_number 216
_symmetry_space_group_name_Hall 'F -4 2 3'
loop_
_atom_site_label
_atom_site_fract_x
_atom_site_fract_y
_atom_site_fract_z
Ca1 0.000 0.000 0.000
Fe1 0.000 0.000 0.500
Fe2 0.250 0.250 0.250
Se1 0.250 0.250 0.750
```

(5)
This record from Alexandria via LeMat-Bulk describes a geometry-optimized Ca2Fe3 structure. The functional is PBE.

Values from the calculation:
Energy of formation   1.21 eV/atom

```
data_Ca2Fe3
_chemical_formula_sum 'Ca2 Fe3'
_cell_length_a 4.7243
_cell_length_b 4.7243
_cell_length_c 6.0014
_cell_angle_alpha 90.00
_cell_angle_beta 90.00
_cell_angle_gamma 120.00
_symmetry_space_group_name_H-M 'P -3 m 1'
_symmetry_Int_Tables_number 164
_symmetry_space_group_name_Hall '-P 3 2"'
loop_
_atom_site_label
_atom_site_fract_x
_atom_site_fract_y
_atom_site_fract_z
Ca1 0.3333 0.6667 0.3262
Fe1 0.0000 0.0000 0.5000
Fe2 0.3333 0.6667 0.8567
```

(6)
This record from Alexandria via LeMat-Bulk describes a geometry-optimized K3Na3Hg structure. The functional is PBE.

Values from the calculation:
Energy of formation   -0.07 eV/atom

```
data_K3Na3Hg
_chemical_formula_sum 'K6 Na6 Hg2'
_cell_length_a 12.3108
_cell_length_b 12.3108
_cell_length_c 5.0591
_cell_angle_alpha 90.00
_cell_angle_beta 90.00
_cell_angle_gamma 120.00
_symmetry_space_group_name_H-M 'P 63/m m c'
_symmetry_Int_Tables_number 194
_symmetry_space_group_name_Hall '-P 6c 2c'
loop_
_atom_site_label
_atom_site_fract_x
_atom_site_fract_y
_atom_site_fract_z
K1 0.1641 0.3283 0.2500
Na1 0.1323 0.5662 0.7500
Hg1 0.3333 0.6667 0.2500
```

(7)
This record from Alexandria via LeMat-Bulk describes a geometry-optimized CaPm3Pd structure. The functional is PBE.

Values from the calculation:
Energy of formation   -0.12 eV/atom

```
data_CaPm3Pd
_chemical_formula_sum 'Ca1 Pm3 Pd1'
_cell_length_a 5.670
_cell_length_b 5.670
_cell_length_c 5.670
_cell_angle_alpha 90.00
_cell_angle_beta 90.00
_cell_angle_gamma 90.00
_symmetry_space_group_name_H-M 'P m -3 m'
_symmetry_Int_Tables_number 221
_symmetry_space_group_name_Hall '-P 4 2 3'
loop_
_atom_site_label
_atom_site_fract_x
_atom_site_fract_y
_atom_site_fract_z
Ca1 0.000 0.000 0.000
Pm1 0.000 0.500 0.500
Pd1 0.500 0.500 0.500
```

(8)
This record from Alexandria via LeMat-Bulk describes a geometry-optimized SrNb3Sb structure. The functional is PBE.

Values from the calculation:
Uncorrected formation energy   2326.6 meV per atom

```
data_SrNb3Sb
_chemical_formula_sum 'Sr1 Nb3 Sb1'
_cell_length_a 4.946
_cell_length_b 4.946
_cell_length_c 4.946
_cell_angle_alpha 90.00
_cell_angle_beta 90.00
_cell_angle_gamma 90.00
_symmetry_space_group_name_H-M 'P m -3 m'
_symmetry_Int_Tables_number 221
_symmetry_space_group_name_Hall '-P 4 2 3'
loop_
_atom_site_label
_atom_site_fract_x
_atom_site_fract_y
_atom_site_fract_z
Sr1 0.000 0.000 0.000
Nb1 0.000 0.000 0.500
Sb1 0.500 0.500 0.500
```